# PaSnOsRu (PBE-GGA, relaxed)
# uncorrected energy = -34.8 eV/f.u.
data_PaSnOsRu
_space_group_name_H-M_alt 'F -4 3 m'
_space_group_IT_number 216
_space_group_name_Hall 'F -4 2 3'
_cell_length_a 6.729
_cell_length_b 6.729
_cell_length_c 6.729
_cell_angle_alpha 90.00
_cell_angle_beta 90.00
_cell_angle_gamma 90.00
loop_
_atom_site_label
_atom_site_type_symbol
_atom_site_fract_x
_atom_site_fract_y
_atom_site_fract_z
_atom_site_occupancy
Pa1 Pa 0.000 0.000 0.000 1
Sn1 Sn 0.000 0.000 0.500 1
Os1 Os 0.250 0.250 0.750 1
Ru1 Ru 0.250 0.250 0.250 1

***

# Ce2Mg6Tl3 (PBE-GGA, relaxed)
# uncorrected energy = -29.3 eV/f.u.
data_Ce2Mg6Tl3
_space_group_name_H-M_alt 'P -6 2 m'
_space_group_IT_number 189
_space_group_name_Hall 'P -6 -2'
_cell_length_a 8.5624
_cell_length_b 8.5624
_cell_length_c 4.5916
_cell_angle_alpha 90.00
_cell_angle_beta 90.00
_cell_angle_gamma 120.00
loop_
_atom_site_label
_atom_site_type_symbol
_atom_site_fract_x
_atom_site_fract_y
_atom_site_fract_z
_atom_site_occupancy
Ce1 Ce 0.3333 0.6667 0.0000 1
Mg1 Mg 0.0000 0.2029 0.0000 1
Mg2 Mg 0.0000 0.7292 0.5000 1
Tl1 Tl 0.0000 0.4012 0.5000 1

***

# GaSnHg2I (PBE-GGA, relaxed)
# energy above the lowest structure with this stoichiometry = 0.005 eV/atom
# energy relative to the elements, uncorrected = 0.016 eV/atom
# uncorrected energy = -9.1 eV/f.u.
data_GaSnHg2I
_space_group_name_H-M_alt 'P 4/m m m'
_space_group_IT_number 123
_space_group_name_Hall '-P 4 2'
_cell_length_a 5.628
_cell_length_b 5.628
_cell_length_c 5.689
_cell_angle_alpha 90.00
_cell_angle_beta 90.00
_cell_angle_gamma 90.00
loop_
_atom_site_label
_atom_site_type_symbol
_atom_site_fract_x
_atom_site_fract_y
_atom_site_fract_z
_atom_site_occupancy
Ga1 Ga 0.000 0.000 0.000 1
Sn1 Sn 0.000 0.000 0.500 1
Hg1 Hg 0.000 0.500 0.500 1
I1 I 0.500 0.500 0.000 1

***

# LiHPd2 (PBE-GGA, relaxed)
# energy above the lowest structure with this stoichiometry = 0.000 eV/atom
# uncorrected energy = -16.9 eV/f.u.
data_LiHPd2
_space_group_name_H-M_alt 'P m m n'
_space_group_IT_number 59
_cell_length_a 3.961
_cell_length_b 8.467
_cell_length_c 2.759
_cell_angle_alpha 90.00
_cell_angle_beta 90.00
_cell_angle_gamma 90.00
loop_
_space_group_symop_operation_xyz
'x,y,z'
'-x,-y,-z'
'-x+1/2,-y+1/2,z'
'x+1/2,y+1/2,-z'
'x+1/2,-y,-z'
'-x+1/2,y,z'
'-x,y+1/2,-z'
'x,-y+1/2,z'
loop_
_atom_site_label
_atom_site_type_symbol
_atom_site_fract_x
_atom_site_fract_y
_atom_site_fract_z
_atom_site_occupancy
Li1 Li 0.250 0.250 0.250 1
H1 H 0.250 0.750 0.748 1
Pd1 Pd 0.250 0.587 0.250 1

***

# La2CeGe (PBE-GGA, relaxed)
# energy above the lowest structure with this stoichiometry = 0.032 eV/atom
# uncorrected energy = -21.8 eV/f.u.
data_La2CeGe
_space_group_name_H-M_alt 'P 4/m m m'
_space_group_IT_number 123
_space_group_name_Hall '-P 4 2'
_cell_length_a 4.833
_cell_length_b 4.833
_cell_length_c 4.739
_cell_angle_alpha 90.00
_cell_angle_beta 90.00
_cell_angle_gamma 90.00
loop_
_atom_site_label
_atom_site_type_symbol
_atom_site_fract_x
_atom_site_fract_y
_atom_site_fract_z
_atom_site_occupancy
La1 La 0.000 0.500 0.000 1
Ce1 Ce 0.000 0.000 0.500 1
Ge1 Ge 0.500 0.500 0.500 1

***

# Tc2CSeCl (PBE-GGA, relaxed)
# energy relative to the elements, uncorrected = 1.963 eV/atom
# uncorrected energy = -25.5 eV/f.u.
data_Tc2CSeCl
_space_group_name_H-M_alt 'P 4/m m m'
_space_group_IT_number 123
_space_group_name_Hall '-P 4 2'
_cell_length_a 4.577
_cell_length_b 4.577
_cell_length_c 3.509
_cell_angle_alpha 90.00
_cell_angle_beta 90.00
_cell_angle_gamma 90.00
loop_
_atom_site_label
_atom_site_type_symbol
_atom_site_fract_x
_atom_site_fract_y
_atom_site_fract_z
_atom_site_occupancy
Tc1 Tc 0.000 0.500 0.000 1
C1 C 0.000 0.000 0.500 1
Se1 Se 0.500 0.500 0.500 1
Cl1 Cl 0.000 0.000 0.000 1

***

Q: Among the records above, which one has the lowest uncorrected energy?
A: PaSnOsRu